[1]
Here is crystalline TmBiTe at its relaxed geometry from Alexandria via LeMat-Bulk. Energies are from GGA-PBE.

Computed properties:
Raw formation energy (meV per atom): -698
E_tot (eV per atom): -4.530
Space group: I4mm (107)
D(E_F) (states/eV per atom): 0.799

Lattice parameters (Å, degrees): 3.892 3.892 6.382 107.75 107.75 90.00
Fractional coordinates of all 3 atoms:
Bi: 0.009 0.009 0.018
Tm: 0.687 0.687 0.374
Te: 0.304 0.304 0.608

***

[2]
Here is crystalline Tm8Bi2Te3 at its relaxed geometry from Alexandria via LeMat-Bulk. Energies are from GGA-PBE.

Computed properties:
Raw formation energy (meV per atom): -551
E_tot (eV per atom): -4.624
Space group: C2/m (12)
D(E_F) (states/eV per atom): 0.816

Lattice parameters (Å, degrees): 6.741 8.499 8.284 120.86 95.70 90.00
Fractional coordinates of all 13 atoms:
Bi: 0.647 0.762 0.524
Bi: 0.353 0.238 0.476
Te: 0.000 0.204 0.000
Te: 0.000 0.796 0.000
Te: 0.500 0.000 0.000
Tm: 0.151 0.834 0.668
Tm: 0.374 0.414 0.230
Tm: 0.626 0.586 0.770
Tm: 0.374 0.816 0.230
Tm: 0.124 0.406 0.813
Tm: 0.849 0.166 0.332
Tm: 0.626 0.184 0.770
Tm: 0.876 0.594 0.187

***

[3]
Here is crystalline Tm4BiTe5 at its relaxed geometry from Alexandria via LeMat-Bulk. Energies are from GGA-PBE.

Computed properties:
Raw formation energy (meV per atom): -1122
E_tot (eV per atom): -4.870
Space group: C2/m (12)
D(E_F) (states/eV per atom): 0.418

Lattice parameters (Å, degrees): 4.289 8.855 9.679 104.04 102.80 90.00
Fractional coordinates of all 10 atoms:
Te: 0.838 0.154 0.675
Te: 0.833 0.666 0.666
Te: 0.167 0.334 0.334
Te: 0.500 0.500 0.000
Te: 0.162 0.846 0.325
Tm: 0.995 0.738 0.991
Tm: 0.674 0.101 0.348
Tm: 0.326 0.899 0.652
Tm: 0.005 0.262 0.009
Bi: 0.500 0.000 0.000

***

Repeat the first record exactly.
Here is crystalline TmBiTe at its relaxed geometry from Alexandria via LeMat-Bulk. Energies are from GGA-PBE.

Computed properties:
Raw formation energy (meV per atom): -698
E_tot (eV per atom): -4.530
Space group: I4mm (107)
D(E_F) (states/eV per atom): 0.799

Lattice parameters (Å, degrees): 3.892 3.892 6.382 107.75 107.75 90.00
Fractional coordinates of all 3 atoms:
Bi: 0.009 0.009 0.018
Tm: 0.687 0.687 0.374
Te: 0.304 0.304 0.608

***

Question: Which value of D(E_F) does entry 3 give?
Answer: 0.418 states/eV per atom

***

Question: What is the E_tot in the second record?
Answer: -4.624 eV per atom